[1]
LaTb2Ga2Pt7: relaxed, GGA-PBE.

Structure (POSCAR):
```
LaTb2Ga2Pt7
1.0
-1.900 2.938 2.132
-1.383 -2.767 2.686
10.254 1.881 9.790
Pt Tb La Ga
7 2 1 2
Direct
0.566 0.066 0.838
0.357 0.357 0.435
0.500 0.500 0.000
0.934 0.434 0.162
0.066 0.566 0.838
0.643 0.643 0.565
0.434 0.934 0.162
0.871 0.871 0.361
0.129 0.129 0.639
0.000 0.000 0.000
0.607 0.607 0.737
0.393 0.393 0.263
```

Summary:
- symmetry = No. 12
- energy of formation from the pure elements (meV per atom) = -927
- size of the total moment (μB per formula unit) = 0.000

=====

[2]
Tb6ScSe8: relaxed, GGA-PBE.

Structure (POSCAR):
```
Tb6ScSe8
1.0
-6.708 3.873 -2.487
-5.625 2.280 5.417
-1.022 7.883 1.729
Tb Se Sc
6 8 1
Direct
0.000 0.000 0.500
0.000 0.500 0.000
0.000 0.500 0.500
0.500 0.500 0.000
0.500 0.000 0.000
0.500 0.000 0.500
0.755 0.755 0.245
0.755 0.245 0.755
0.245 0.755 0.755
0.750 0.750 0.750
0.755 0.245 0.245
0.245 0.245 0.755
0.250 0.250 0.250
0.245 0.755 0.245
0.000 0.000 0.000
```

Summary:
- symmetry = No. 225
- size of the total moment (μB per formula unit) = 0.000
- ΔE_f (raw) (meV per atom) = -1823

=====

[3]
FeTcH: relaxed, GGA-PBE.

Structure (POSCAR):
```
FeTcH
1.0
2.797 0.000 0.000
1.399 2.205 0.000
1.399 0.000 4.779
Tc Fe H
1 1 1
Direct
0.352 0.000 0.296
0.632 0.000 0.735
0.015 0.000 0.969
```

Summary:
- symmetry = No. 42
- size of the total moment (μB per formula unit) = 1.915
- E above lowest polymorph (eV/atom) = 0.245

=====

[4]
NbHg2PtC: relaxed, GGA-PBE.

Structure (POSCAR):
```
NbHg2PtC
1.0
5.167 0.000 0.000
0.000 4.946 0.000
0.000 0.000 5.167
Hg C Nb Pt
2 1 1 1
Direct
0.500 0.000 0.000
0.000 0.000 0.500
0.500 0.500 0.500
0.000 0.500 0.000
0.000 0.000 0.000
```

Summary:
- symmetry = No. 123
- energy of formation from the pure elements (meV per atom) = 1891
- size of the total moment (μB per formula unit) = 1.861

=====

[5]
CePmAlTc: relaxed, GGA-PBE.

Structure (POSCAR):
```
CePmAlTc
1.0
5.063 0.000 0.000
2.531 4.384 0.000
2.531 1.461 4.134
Tc Al Pm Ce
1 1 1 1
Direct
0.250 0.250 0.250
0.750 0.750 0.750
0.000 0.000 0.000
0.500 0.500 0.500
```

Summary:
- symmetry = No. 216
- energy of formation from the pure elements (meV per atom) = -57
- size of the total moment (μB per formula unit) = 0.000

=====

[6]
NdSiHg: relaxed, GGA-PBE.

Structure (POSCAR):
```
NdSiHg
1.0
3.941 0.000 -0.238
0.000 4.452 0.000
-2.000 -2.226 8.273
Si Nd Hg
2 2 2
Direct
0.806 0.543 0.086
0.194 0.457 0.914
0.626 0.901 0.803
0.374 0.099 0.197
0.868 0.288 0.576
0.132 0.712 0.424
```

Summary:
- symmetry = No. 12
- size of the total moment (μB per formula unit) = 0.000
- ΔE_f (raw) (meV per atom) = -559

=====

[7]
Sr3AgH: relaxed, GGA-PBE.

Structure (POSCAR):
```
Sr3AgH
1.0
-1.504 5.033 -0.963
-4.862 -1.084 1.926
1.620 1.420 4.887
Sr H Ag
3 1 1
Direct
0.000 0.000 0.500
0.000 0.500 0.000
0.500 0.000 0.000
0.000 0.000 0.000
0.500 0.500 0.500
```

Summary:
- symmetry = No. 221
- size of the total moment (μB per formula unit) = 0.000
- E above lowest polymorph (eV/atom) = 0.065

=====

[8]
Sc5Cd4Tc: relaxed, GGA-PBE.

Structure (POSCAR):
```
Sc5Cd4Tc
1.0
3.384 0.000 0.000
0.000 3.384 0.000
0.000 0.000 18.455
Sc Cd Tc
5 4 1
Direct
0.500 0.500 0.707
0.500 0.500 0.080
0.500 0.500 0.500
0.500 0.500 0.920
0.500 0.500 0.293
0.000 0.000 0.812
0.000 0.000 0.188
0.000 0.000 0.603
0.000 0.000 0.397
0.000 0.000 0.000
```

Summary:
- symmetry = No. 123
- energy of formation from the pure elements (meV per atom) = -301
- size of the total moment (μB per formula unit) = 0.193

=====

[9]
Sm2ScGa: relaxed, GGA-PBE.

Structure (POSCAR):
```
Sm2ScGa
1.0
4.664 0.000 0.000
0.000 4.684 0.000
0.000 0.000 4.684
Sm Sc Ga
2 1 1
Direct
0.000 0.500 0.000
0.000 0.000 0.500
0.500 0.000 0.000
0.500 0.500 0.500
```

Summary:
- symmetry = No. 123
- energy of formation from the pure elements (meV per atom) = -245
- size of the total moment (μB per formula unit) = 0.001
- E above lowest polymorph (eV/atom) = 0.000

=====

[10]
BaZr4Cu: relaxed, GGA-PBE.

Structure (POSCAR):
```
BaZr4Cu
1.0
0.000 4.262 4.262
4.262 0.000 4.262
4.262 4.262 0.000
Cu Zr Ba
1 4 1
Direct
0.000 0.000 0.000
0.374 0.374 0.878
0.878 0.374 0.374
0.374 0.878 0.374
0.374 0.374 0.374
0.750 0.750 0.750
```

Summary:
- symmetry = No. 216
- energy of formation from the pure elements (meV per atom) = 693
- size of the total moment (μB per formula unit) = 0.000

=====

[11]
Ac3Tb5H12: relaxed, GGA-PBE.

Structure (POSCAR):
```
Ac3Tb5H12
1.0
-10.322 -5.604 2.062
8.659 -5.142 6.386
-0.998 11.457 3.154
H Tb Ac
48 20 12
Direct
0.051 0.415 0.837
0.136 0.714 0.551
0.085 0.922 0.136
0.415 0.364 0.578
0.214 0.663 0.078
0.551 0.214 0.136
0.922 0.837 0.786
0.422 0.136 0.585
0.837 0.922 0.286
0.286 0.864 0.949
0.422 0.286 0.337
0.337 0.786 0.422
0.578 0.864 0.415
0.663 0.449 0.585
0.922 0.085 0.636
0.078 0.163 0.214
0.663 0.214 0.578
0.449 0.663 0.085
0.915 0.837 0.551
0.578 0.714 0.663
0.415 0.051 0.337
0.364 0.949 0.786
0.636 0.051 0.214
0.949 0.364 0.286
0.163 0.085 0.949
0.078 0.915 0.364
0.551 0.337 0.915
0.585 0.636 0.422
0.214 0.551 0.636
0.786 0.449 0.364
0.837 0.915 0.051
0.949 0.585 0.163
0.636 0.585 0.922
0.915 0.078 0.864
0.864 0.286 0.449
0.786 0.337 0.922
0.085 0.163 0.449
0.864 0.578 0.915
0.337 0.551 0.415
0.364 0.415 0.078
0.286 0.422 0.837
0.714 0.136 0.051
0.163 0.078 0.714
0.585 0.949 0.663
0.051 0.636 0.714
0.136 0.422 0.085
0.714 0.578 0.163
0.449 0.786 0.864
0.000 0.500 0.000
0.250 0.875 0.125
0.000 0.000 0.500
0.500 0.500 0.500
0.000 0.500 0.500
0.000 0.000 0.000
0.750 0.625 0.375
0.875 0.625 0.750
0.500 0.500 0.000
0.500 0.000 0.000
0.875 0.250 0.625
0.375 0.125 0.750
0.250 0.375 0.625
0.500 0.000 0.500
0.375 0.250 0.125
0.125 0.375 0.250
0.750 0.125 0.875
0.625 0.875 0.250
0.125 0.750 0.375
0.625 0.750 0.875
0.375 0.625 0.250
0.250 0.125 0.375
0.750 0.875 0.625
0.125 0.875 0.750
0.125 0.250 0.875
0.625 0.375 0.750
0.875 0.125 0.250
0.375 0.750 0.625
0.750 0.375 0.125
0.875 0.750 0.125
0.250 0.625 0.875
0.625 0.250 0.375
```

Summary:
- symmetry = No. 230
- uncorrected energy (eV/f.u.) = -84.213
- size of the total moment (μB per formula unit) = 0.001

=====

[12]
YLu2Hf: relaxed, GGA-PBE.

Structure (POSCAR):
```
YLu2Hf
1.0
3.869 0.000 0.000
0.000 3.869 0.000
0.000 0.000 7.585
Lu Hf Y
2 1 1
Direct
0.000 0.000 0.783
0.000 0.000 0.217
0.500 0.500 0.000
0.500 0.500 0.500
```

Summary:
- symmetry = No. 123
- energy of formation from the pure elements (meV per atom) = 205
- size of the total moment (μB per formula unit) = 0.001
- E above lowest polymorph (eV/atom) = 0.068